Here is a crystal of Li2BeCr relaxed with PBEsol from Alexandria via LeMat-Bulk. Energies are from meta-GGA SCAN.

## Properties
Crystal system = monoclinic
E_tot = -6.4562 eV per atom

a = 2.177 Å, b = 4.545 Å, c = 5.207 Å
α = 115.46°, β = 101.26°, γ = 91.81°
Fractional coordinates of all 4 atoms:
1 Cr 0.500 0.000 0.000
2 Li 0.500 0.500 0.500
3 Li 0.000 0.000 0.500
4 Be 0.000 0.500 0.000

=====

Here is a crystal of TeAuI2N relaxed with PBEsol from Alexandria via LeMat-Bulk. Energies are from meta-GGA SCAN.

## Properties
Energy relative to the lowest polymorph listed for this composition = 7.3 meV/atom
Crystal system = tetragonal
E_tot = -36.8531 eV per atom
Formation energy from raw total energies = 983 meV/atom

a = 3.928 Å, b = 5.976 Å, c = 5.976 Å
α = 90.00°, β = 90.00°, γ = 90.00°
Fractional coordinates of all 5 atoms:
1 I 0.000 0.000 0.500
2 I 0.000 0.500 0.000
3 Te 0.000 0.000 0.000
4 Au 0.500 0.500 0.500
5 N 0.500 0.000 0.000

=====

Here is a crystal of CaNb2Rh2 relaxed with PBEsol from Alexandria via LeMat-Bulk. Energies are from meta-GGA SCAN.

## Properties
Crystal system = tetragonal
E_tot = -29.0755 eV per atom

a = 4.415 Å, b = 4.415 Å, c = 6.009 Å
α = 111.55°, β = 111.55°, γ = 90.00°
Fractional coordinates of all 5 atoms:
1 Nb 0.250 0.750 0.500
2 Nb 0.750 0.250 0.500
3 Rh 0.374 0.374 0.748
4 Rh 0.626 0.626 0.252
5 Ca 0.000 0.000 0.000

=====

Here is a crystal of Sc2TeOs relaxed with PBEsol from Alexandria via LeMat-Bulk. Energies are from meta-GGA SCAN.

## Properties
Crystal system = tetragonal
E_tot = -34.8990 eV per atom
Formation energy from raw total energies = -498 meV/atom

a = 3.479 Å, b = 4.657 Å, c = 4.657 Å
α = 90.00°, β = 90.00°, γ = 90.00°
Fractional coordinates of all 4 atoms:
1 Os 0.500 0.000 0.000
2 Sc 0.000 0.000 0.500
3 Sc 0.000 0.500 0.000
4 Te 0.500 0.500 0.500

=====

Here is a crystal of Li2MgGe relaxed with PBEsol from Alexandria via LeMat-Bulk. Energies are from meta-GGA SCAN.

## Properties
Crystal system = cubic
E_tot = -7.4951 eV per atom

a = 4.434 Å, b = 4.434 Å, c = 4.434 Å
α = 60.00°, β = 60.00°, γ = 60.00°
Fractional coordinates of all 4 atoms:
1 Ge 0.500 0.500 0.500
2 Mg 0.000 0.000 0.000
3 Li 0.250 0.250 0.250
4 Li 0.750 0.750 0.750

=====

Here is a crystal of ZrSi2Tc relaxed with PBEsol from Alexandria via LeMat-Bulk. Energies are from meta-GGA SCAN.

## Properties
Energy relative to the lowest polymorph listed for this composition = 53.4 meV/atom
Crystal system = monoclinic
E_tot = -21.9194 eV per atom
Formation energy from raw total energies = -472 meV/atom

a = 3.081 Å, b = 4.208 Å, c = 5.386 Å
α = 100.61°, β = 90.00°, γ = 111.48°
Fractional coordinates of all 4 atoms:
1 Si 0.737 0.475 0.682
2 Si 0.263 0.525 0.318
3 Tc 0.000 0.000 0.500
4 Zr 0.500 0.000 0.000

=====

Here is a crystal of Cd3GeIr relaxed with PBEsol from Alexandria via LeMat-Bulk. Energies are from meta-GGA SCAN.

## Properties
Crystal system = cubic
E_tot = -35.1433 eV per atom

a = 4.874 Å, b = 4.874 Å, c = 4.874 Å
α = 90.00°, β = 90.00°, γ = 90.00°
Each line ends with the local moment (μB).
Fractional coordinates of all 5 atoms:
1 Ge 0.000 0.000 0.000  0.04
2 Ir 0.500 0.500 0.500  1.10
3 Cd 0.000 0.500 0.000  -0.01
4 Cd 0.000 0.000 0.500  -0.01
5 Cd 0.500 0.000 0.000  -0.01

=====

Here is a crystal of Sc3TaIr relaxed with PBEsol from Alexandria via LeMat-Bulk. Energies are from meta-GGA SCAN.

## Properties
Crystal system = cubic
E_tot = -35.0084 eV per atom

a = 4.820 Å, b = 4.820 Å, c = 4.820 Å
α = 90.00°, β = 90.00°, γ = 90.00°
Fractional coordinates of all 5 atoms:
1 Sc 0.000 0.500 0.000
2 Sc 0.000 0.000 0.500
3 Sc 0.500 0.000 0.000
4 Ir 0.500 0.500 0.500
5 Ta 0.000 0.000 0.000